# NaPr2Ni, relaxed, DFT PBE
# Energy of formation   -0.037 eV per atom
# Polymorph energy (0 for the lowest one)   0.000 eV/atom
# DOS at the Fermi energy   0.730 states/eV per atom
# Volume   29.6 A^3/atom
data_NaPr2Ni
_cell_length_a 3.5199
_cell_length_b 3.5199
_cell_length_c 9.5576
_cell_angle_alpha 90.00
_cell_angle_beta 90.00
_cell_angle_gamma 90.00
_symmetry_space_group_name_H-M 'P 4/m m m'
_symmetry_Int_Tables_number 123
_symmetry_space_group_name_Hall '-P 4 2'
loop_
_atom_site_label
_atom_site_fract_x
_atom_site_fract_y
_atom_site_fract_z
Na1 0.0000 0.0000 0.0000
Pr1 0.5000 0.5000 0.3243
Ni1 0.0000 0.0000 0.5000

=====

# NaPr2Ni, relaxed, DFT PBE
# Energy of formation   0.034 eV per atom
# Polymorph energy (0 for the lowest one)   0.071 eV/atom
# DOS at the Fermi energy   0.898 states/eV per atom
# Volume   35.9 A^3/atom
data_NaPr2Ni
_cell_length_a 3.9465
_cell_length_b 3.9465
_cell_length_c 31.9411
_cell_angle_alpha 90.00
_cell_angle_beta 90.00
_cell_angle_gamma 120.00
_symmetry_space_group_name_H-M 'R -3 m'
_symmetry_Int_Tables_number 166
_symmetry_space_group_name_Hall '-R 3 2"'
loop_
_atom_site_label
_atom_site_fract_x
_atom_site_fract_y
_atom_site_fract_z
Na1 0.0000 0.0000 0.0000
Pr1 0.0000 0.0000 0.1169
Ni1 0.0000 0.0000 0.5000

=====

# NaPrNi4, relaxed, DFT PBE
# Energy of formation   -0.112 eV per atom
# DOS at the Fermi energy   0.829 states/eV per atom
# Volume   15.3 A^3/atom
data_NaPrNi4
_cell_length_a 7.1602
_cell_length_b 7.1602
_cell_length_c 7.1602
_cell_angle_alpha 90.00
_cell_angle_beta 90.00
_cell_angle_gamma 90.00
_symmetry_space_group_name_H-M 'F -4 3 m'
_symmetry_Int_Tables_number 216
_symmetry_space_group_name_Hall 'F -4 2 3'
loop_
_atom_site_label
_atom_site_fract_x
_atom_site_fract_y
_atom_site_fract_z
Na1 0.0000 0.0000 0.0000
Pr1 0.2500 0.2500 0.7500
Ni1 0.1254 0.1254 0.3746

=====

# NaPrNiSn, relaxed, DFT PBE
# Energy of formation   -0.285 eV per atom
# DOS at the Fermi energy   0.016 states/eV per atom
# Volume   21.0 A^3/atom
data_NaPrNiSn
_cell_length_a 6.9468
_cell_length_b 6.9468
_cell_length_c 6.9468
_cell_angle_alpha 90.00
_cell_angle_beta 90.00
_cell_angle_gamma 90.00
_symmetry_space_group_name_H-M 'F -4 3 m'
_symmetry_Int_Tables_number 216
_symmetry_space_group_name_Hall 'F -4 2 3'
loop_
_atom_site_label
_atom_site_fract_x
_atom_site_fract_y
_atom_site_fract_z
Na1 0.0000 0.0000 0.0000
Pr1 0.2500 0.2500 0.2500
Ni1 0.0000 0.0000 0.5000
Sn1 0.2500 0.2500 0.7500

=====

# NaNiPt, relaxed, DFT PBE
# Energy of formation   -0.136 eV per atom
# Polymorph energy (0 for the lowest one)   0.000 eV/atom
# DOS at the Fermi energy   0.664 states/eV per atom
# Volume   16.1 A^3/atom
data_NaNiPt
_cell_length_a 5.0083
_cell_length_b 5.3552
_cell_length_c 7.1999
_cell_angle_alpha 90.00
_cell_angle_beta 90.00
_cell_angle_gamma 90.00
_symmetry_space_group_name_H-M 'I m m a'
_symmetry_Int_Tables_number 74
_symmetry_space_group_name_Hall '-I 2b 2'
loop_
_atom_site_label
_atom_site_fract_x
_atom_site_fract_y
_atom_site_fract_z
Na1 0.0000 0.2500 0.1264
Ni1 0.2500 0.2500 0.7500
Pt1 0.0000 0.0000 0.5000

=====

# Na2NiPt2, relaxed, DFT PBE
# Energy of formation   -0.018 eV per atom
# DOS at the Fermi energy   0.877 states/eV per atom
# Volume   19.0 A^3/atom
data_Na2NiPt2
_cell_length_a 6.2960
_cell_length_b 6.2960
_cell_length_c 4.7805
_cell_angle_alpha 90.00
_cell_angle_beta 90.00
_cell_angle_gamma 90.00
_symmetry_space_group_name_H-M 'P 4/m b m'
_symmetry_Int_Tables_number 127
_symmetry_space_group_name_Hall '-P 4 2ab'
loop_
_atom_site_label
_atom_site_fract_x
_atom_site_fract_y
_atom_site_fract_z
Na1 0.1726 0.3274 0.0000
Ni1 0.0000 0.0000 0.5000
Pt1 0.1417 0.6417 0.5000

=====

# NaNi2Pt2, relaxed, DFT PBE
# Energy of formation   -0.074 eV per atom
# Polymorph energy (0 for the lowest one)   0.000 eV/atom
# DOS at the Fermi energy   1.595 states/eV per atom
# Volume   15.1 A^3/atom
data_NaNi2Pt2
_cell_length_a 7.5313
_cell_length_b 7.5313
_cell_length_c 2.6662
_cell_angle_alpha 90.00
_cell_angle_beta 90.00
_cell_angle_gamma 90.00
_symmetry_space_group_name_H-M 'P 4/m b m'
_symmetry_Int_Tables_number 127
_symmetry_space_group_name_Hall '-P 4 2ab'
loop_
_atom_site_label
_atom_site_fract_x
_atom_site_fract_y
_atom_site_fract_z
Na1 0.0000 0.0000 0.0000
Ni1 0.1172 0.3828 0.0000
Pt1 0.1777 0.6777 0.5000

=====

# Na2Ni2Pt, relaxed, DFT PBE
# Energy of formation   0.183 eV per atom
# DOS at the Fermi energy   1.336 states/eV per atom
# Volume   17.9 A^3/atom
data_Na2Ni2Pt
_cell_length_a 6.1817
_cell_length_b 6.1817
_cell_length_c 4.6831
_cell_angle_alpha 90.00
_cell_angle_beta 90.00
_cell_angle_gamma 90.00
_symmetry_space_group_name_H-M 'P 4/m b m'
_symmetry_Int_Tables_number 127
_symmetry_space_group_name_Hall '-P 4 2ab'
loop_
_atom_site_label
_atom_site_fract_x
_atom_site_fract_y
_atom_site_fract_z
Na1 0.1842 0.3158 0.0000
Ni1 0.1270 0.6270 0.5000
Pt1 0.0000 0.0000 0.5000

=====

# Na2NiPt, relaxed, DFT PBE
# Energy of formation   0.436 eV per atom
# Polymorph energy (0 for the lowest one)   0.006 eV/atom
# DOS at the Fermi energy   0.797 states/eV per atom
# Volume   17.6 A^3/atom
data_Na2NiPt
_cell_length_a 6.5542
_cell_length_b 6.5542
_cell_length_c 6.5542
_cell_angle_alpha 90.00
_cell_angle_beta 90.00
_cell_angle_gamma 90.00
_symmetry_space_group_name_H-M 'F m -3 m'
_symmetry_Int_Tables_number 225
_symmetry_space_group_name_Hall '-F 4 2 3'
loop_
_atom_site_label
_atom_site_fract_x
_atom_site_fract_y
_atom_site_fract_z
Na1 0.2500 0.2500 0.2500
Ni1 0.0000 0.0000 0.0000
Pt1 0.0000 0.0000 0.5000

=====

# NaNi2Pt2, relaxed, DFT PBE
# Energy of formation   0.167 eV per atom
# Polymorph energy (0 for the lowest one)   0.241 eV/atom
# DOS at the Fermi energy   1.252 states/eV per atom
# Volume   16.8 A^3/atom
data_NaNi2Pt2
_cell_length_a 4.0019
_cell_length_b 4.0019
_cell_length_c 10.4589
_cell_angle_alpha 90.00
_cell_angle_beta 90.00
_cell_angle_gamma 90.00
_symmetry_space_group_name_H-M 'I 4/m m m'
_symmetry_Int_Tables_number 139
_symmetry_space_group_name_Hall '-I 4 2'
loop_
_atom_site_label
_atom_site_fract_x
_atom_site_fract_y
_atom_site_fract_z
Na1 0.0000 0.0000 0.0000
Ni1 0.0000 0.0000 0.3936
Pt1 0.0000 0.5000 0.2500

=====

# NaNi2Pt, relaxed, DFT PBE
# Energy of formation   0.502 eV per atom
# Polymorph energy (0 for the lowest one)   0.240 eV/atom
# DOS at the Fermi energy   1.002 states/eV per atom
# Volume   19.2 A^3/atom
data_NaNi2Pt
_cell_length_a 4.2363
_cell_length_b 4.2363
_cell_length_c 17.1013
_cell_angle_alpha 90.00
_cell_angle_beta 90.00
_cell_angle_gamma 90.00
_symmetry_space_group_name_H-M 'I -4 2 d'
_symmetry_Int_Tables_number 122
_symmetry_space_group_name_Hall 'I -4 2bw'
loop_
_atom_site_label
_atom_site_fract_x
_atom_site_fract_y
_atom_site_fract_z
Na1 0.0000 0.0000 0.0000
Ni1 0.0945 0.2500 0.6250
Pt1 0.0000 0.0000 0.5000

=====

# Na3NiPt, relaxed, DFT PBE
# Energy of formation   0.679 eV per atom
# Polymorph energy (0 for the lowest one)   0.000 eV/atom
# DOS at the Fermi energy   1.895 states/eV per atom
# Volume   29.0 A^3/atom
data_Na3NiPt
_cell_length_a 5.2538
_cell_length_b 5.2538
_cell_length_c 5.2538
_cell_angle_alpha 90.00
_cell_angle_beta 90.00
_cell_angle_gamma 90.00
_symmetry_space_group_name_H-M 'P m -3 m'
_symmetry_Int_Tables_number 221
_symmetry_space_group_name_Hall '-P 4 2 3'
loop_
_atom_site_label
_atom_site_fract_x
_atom_site_fract_y
_atom_site_fract_z
Na1 0.0000 0.0000 0.5000
Ni1 0.5000 0.5000 0.5000
Pt1 0.0000 0.0000 0.0000